[1]
Density functional theory data (PBE) for a relaxed structure of Y2TlNiH.

Cell: 5.2486 5.2486 4.8411 Å, 90.00 90.00 90.00°
Element x y z (fractional)
Y: 0.0000 0.5000 0.0000
Y: 0.5000 0.0000 0.0000
Tl: 0.0000 0.0000 0.5000
Ni: 0.0000 0.0000 0.0000
H: 0.5000 0.5000 0.5000

Computed properties:
As for the electronic total energy: -4.582 eV/atom.

[2]
Density functional theory data (PBE) for a relaxed structure of Zr2TlNiH.

Cell: 4.4432 4.4432 4.0564 Å, 90.00 90.00 90.00°
Element x y z (fractional)
Zr: 0.0000 0.5000 0.0000
Zr: 0.5000 0.0000 0.0000
Tl: 0.0000 0.0000 0.5000
Ni: 0.5000 0.5000 0.5000
H: 0.5000 0.5000 0.0000

Computed properties:
As for the electronic total energy: -5.910 eV/atom.

[3]
Density functional theory data (PBE) for a relaxed structure of TmNi3H3.

Cell: 5.9876 5.9876 5.9876 Å, 60.00 60.00 60.00°
Element x y z (fractional)
Tm: 0.2500 0.2500 0.2500
Tm: 0.7500 0.7500 0.7500
Ni: 0.1985 0.1985 0.8015
Ni: 0.1985 0.8015 0.1985
Ni: 0.1985 0.8015 0.8015
Ni: 0.8015 0.1985 0.1985
Ni: 0.8015 0.1985 0.8015
Ni: 0.8015 0.8015 0.1985
H: 0.3710 0.3710 0.6290
H: 0.3710 0.6290 0.3710
H: 0.3710 0.6290 0.6290
H: 0.6290 0.3710 0.3710
H: 0.6290 0.3710 0.6290
H: 0.6290 0.6290 0.3710

Computed properties:
As for the electronic total energy: -4.357 eV/atom.

Number 1: spin magnetization 0.0 μB per formula unit. Number 2: spin magnetization 0.0 μB per formula unit. Number 3: spin magnetization 0.0 μB per formula unit.